A relaxed structure of Be2TlAg. Source: OQMD via LeMat-Bulk, functional PBE-GGA.

a = 6.3441 Å, b = 6.3441 Å, c = 6.3441 Å
α = 90.00°, β = 90.00°, γ = 90.00°
Last column: nearest neighbours and their distance in Å.
Space group F-43m (No. 216)
Inequivalent atoms, fractional coordinates:
Be  0.0000  0.0000  0.0000  4 Be 2.75, 4 Ag 2.75
Be  0.2500  0.2500  0.2500  4 Tl 2.75, 4 Be 2.75
Tl  0.0000  0.0000  0.5000  4 Be 2.75, 4 Ag 2.75
Ag  0.2500  0.2500  0.7500  4 Tl 2.75, 4 Be 2.75

Properties
Crystal system: cubic

A relaxed structure of ErTm2NiSn3Ir2. Source: OQMD via LeMat-Bulk, functional PBE-GGA.

a = 3.7061 Å, b = 13.0867 Å, c = 7.5377 Å
α = 90.00°, β = 90.00°, γ = 90.00°
Last column: nearest neighbours and their distance in Å.
Space group Amm2 (No. 38)
Inequivalent atoms, fractional coordinates:
Er  0.0000  0.0000  0.0000  4 Ir 2.96, 1 Ni 3.07, 6 Sn 3.14-3.27
Tm  0.0000  0.2033  0.6102  4 Ir 2.94, 1 Ni 3.07, 6 Sn 3.14-3.27
Ni  0.0000  0.0000  0.4075  6 Sn 2.67-2.69
Sn  0.5000  0.0000  0.6632  2 Ni 2.67, 2 Ir 2.86
Sn  0.5000  0.1288  0.2789  2 Ni 2.69, 2 Ir 2.83-2.85
Ir  0.5000  0.1675  0.9065  3 Sn 2.83-2.86, 4 Tm 2.94, 2 Er 2.96

Properties
Crystal system: orthorhombic

A relaxed structure of MgScHg2. Source: OQMD via LeMat-Bulk, functional PBE-GGA.

a = 3.3970 Å, b = 3.3970 Å, c = 7.3037 Å
α = 90.00°, β = 90.00°, γ = 90.00°
Last column: nearest neighbours and their distance in Å.
Space group P4/mmm (No. 123)
Inequivalent atoms, fractional coordinates:
Mg  0.0000  0.0000  0.0000  8 Hg 3.00
Sc  0.0000  0.0000  0.5000  8 Hg 3.04, 4 Sc 3.40
Hg  0.5000  0.5000  0.2455  4 Mg 3.00, 4 Sc 3.04

Properties
Crystal system: tetragonal

A relaxed structure of AcOsO3. Source: OQMD via LeMat-Bulk, functional PBE-GGA.

a = 5.8352 Å, b = 5.8352 Å, c = 13.2709 Å
α = 90.00°, β = 90.00°, γ = 120.00°
Last column: nearest neighbours and their distance in Å.
Space group R-3c (No. 167, hexagonal axes)
Inequivalent atoms, fractional coordinates:
Ac  0.0000  0.0000  0.2500  3 O 2.46
Os  0.0000  0.0000  0.0000  6 O 2.07
O  0.0000  0.4221  0.2500  2 Os 2.07

Properties
Crystal system: trigonal

A relaxed structure of TlCu3WSe4. Source: OQMD via LeMat-Bulk, functional PBE-GGA.

a = 6.1262 Å, b = 6.1262 Å, c = 6.1262 Å
α = 90.00°, β = 90.00°, γ = 90.00°
Last column: nearest neighbours and their distance in Å.
Space group P-43m (No. 215)
Inequivalent atoms, fractional coordinates:
Tl  0.0000  0.0000  0.0000  4 Se 2.90
Cu  0.0000  0.5000  0.5000  4 Se 2.58
W  0.5000  0.5000  0.5000  4 Se 2.41
Se  0.2730  0.2730  0.2730  1 W 2.41, 3 Cu 2.58

Properties
Crystal system: cubic

A relaxed structure of NdSmNi2B2N2. Source: OQMD via LeMat-Bulk, functional PBE-GGA.

a = 3.6109 Å, b = 3.6109 Å, c = 7.5311 Å
α = 90.00°, β = 90.00°, γ = 90.00°
Last column: nearest neighbours and their distance in Å.
Space group P4mm (No. 99)
Inequivalent atoms, fractional coordinates:
Nd  0.0000  0.0000  0.0000  5 N 2.46-2.56
Sm  0.5000  0.5000  0.6581  5 N 2.44-2.56
Ni  0.0000  0.5000  0.3297  4 B 2.13-2.15
B  0.0000  0.0000  0.4800  1 N 1.45
B  0.5000  0.5000  0.1758  1 N 1.46
N  0.0000  0.0000  0.6731  1 B 1.45
N  0.5000  0.5000  0.9822  1 B 1.46

Properties
Crystal system: tetragonal

A relaxed structure of Dy2TmInGa2Hg3. Source: OQMD via LeMat-Bulk, functional PBE-GGA.

a = 4.4456 Å, b = 12.7200 Å, c = 7.3653 Å
α = 90.00°, β = 90.00°, γ = 90.00°
Last column: nearest neighbours and their distance in Å.
Space group Amm2 (No. 38)
Inequivalent atoms, fractional coordinates:
Dy  0.0000  0.2166  0.0000  4 Ga 3.12, 2 Hg 3.14, 1 In 3.19
Tm  0.0000  0.0000  0.3480  4 Ga 3.10, 2 Hg 3.14, 1 In 3.19
In  0.0000  0.0000  0.7806  6 Hg 2.95-2.97, 1 Tm 3.19, 2 Dy 3.19
Ga  0.5000  0.1657  0.2835  3 Hg 2.73-2.75
Hg  0.5000  0.0000  0.0475  2 Ga 2.73, 2 In 2.97
Hg  0.5000  0.1326  0.6510  2 Ga 2.74-2.75, 2 In 2.95

Properties
Crystal system: orthorhombic

A relaxed structure of Ta2BeRe. Source: OQMD via LeMat-Bulk, functional PBE-GGA.

a = 6.2515 Å, b = 6.2515 Å, c = 6.2515 Å
α = 90.00°, β = 90.00°, γ = 90.00°
Last column: nearest neighbours and their distance in Å.
Space group F-43m (No. 216)
Inequivalent atoms, fractional coordinates:
Ta  0.0000  0.0000  0.0000  4 Ta 2.71, 4 Re 2.71
Ta  0.2500  0.2500  0.2500  4 Ta 2.71, 4 Be 2.71
Be  0.0000  0.0000  0.5000  4 Re 2.71, 4 Ta 2.71
Re  0.2500  0.2500  0.7500  4 Ta 2.71, 4 Be 2.71

Properties
Crystal system: cubic

A relaxed structure of HoPuPd. Source: OQMD via LeMat-Bulk, functional PBE-GGA.

a = 6.8061 Å, b = 6.8061 Å, c = 6.8061 Å
α = 90.00°, β = 90.00°, γ = 90.00°
Last column: nearest neighbours and their distance in Å.
Space group F-43m (No. 216)
Inequivalent atoms, fractional coordinates:
Ho  0.0000  0.0000  0.0000  4 Pd 2.95
Pu  0.0000  0.0000  0.5000  4 Pd 2.95
Pd  0.2500  0.2500  0.2500  4 Ho 2.95, 4 Pu 2.95

Properties
Energy of formation from the pure elements (kcal/mol of atoms): -6.69
Distance to the lowest polymorph of the same formula (eV/atom): 0.000
Crystal system: cubic

A relaxed structure of Dy2Lu5Ni2Te2. Source: OQMD via LeMat-Bulk, functional PBE-GGA.

a = 3.8144 Å, b = 15.3594 Å, c = 9.4418 Å
α = 90.00°, β = 90.00°, γ = 90.00°
Last column: nearest neighbours and their distance in Å.
Space group Imm2 (No. 44)
Inequivalent atoms, fractional coordinates:
Dy  0.0000  0.1467  0.0000  2 Ni 2.82, 2 Te 3.13
Lu  0.0000  0.1843  0.6478  2 Ni 2.75
Lu  0.0000  0.3649  0.8531  2 Ni 2.73
Lu  0.0000  0.5000  0.2702  3 Te 3.16-3.22
Ni  0.0000  0.2620  0.3382  4 Lu 2.73-2.75, 2 Dy 2.82
Te  0.0000  0.0000  0.5034  8 Lu 3.14-3.16
Te  0.0000  0.5000  0.6117  3 Lu 3.08-3.22, 4 Dy 3.13

Properties
Distance to the lowest polymorph of the same formula (eV/atom): 0.000
Crystal system: orthorhombic

A relaxed structure of BaZnPd2. Source: OQMD via LeMat-Bulk, functional PBE-GGA.

a = 7.1335 Å, b = 7.1335 Å, c = 7.1335 Å
α = 90.00°, β = 90.00°, γ = 90.00°
Last column: nearest neighbours and their distance in Å.
Space group F-43m (No. 216)
Inequivalent atoms, fractional coordinates:
Ba  0.0000  0.0000  0.0000  4 Zn 3.09, 4 Pd 3.09
Zn  0.2500  0.2500  0.2500  4 Pd 3.09, 4 Ba 3.09
Pd  0.0000  0.0000  0.5000  4 Pd 3.09, 4 Zn 3.09
Pd  0.2500  0.2500  0.7500  4 Ba 3.09, 4 Pd 3.09

Properties
Crystal system: cubic

A relaxed structure of Cu2Ag3. Source: OQMD via LeMat-Bulk, functional PBE-GGA.

a = 6.2299 Å, b = 6.8499 Å, c = 10.1396 Å
α = 103.08°, β = 93.82°, γ = 110.97°
Last column: nearest neighbours and their distance in Å.
Space group P1 (No. 1)
Inequivalent atoms, fractional coordinates:
Cu  0.0000  0.0000  0.0000  6 Cu 2.60-2.82, 6 Ag 2.68-2.87
Cu  0.0359  0.9140  0.7408  5 Cu 2.60-2.91, 5 Ag 2.67-2.91
Cu  0.1694  0.6805  0.8908  6 Ag 2.67-2.81, 6 Cu 2.70-2.84
Cu  0.2886  0.4415  0.0469  7 Ag 2.68-2.89, 5 Cu 2.73-2.82
Cu  0.4901  0.0479  0.6544  9 Ag 2.70-2.92, 3 Cu 2.84-2.91
Cu  0.5667  0.8689  0.0758  6 Cu 2.64-2.82, 6 Ag 2.65-2.88
Cu  0.6200  0.8054  0.8154  6 Cu 2.63-2.84, 6 Ag 2.70-2.81
Cu  0.6842  0.6337  0.2379  8 Ag 2.68-2.89, 3 Cu 2.73-2.82
Cu  0.7762  0.4959  0.7006  4 Cu 2.66-2.85, 7 Ag 2.74-2.83
Cu  0.8512  0.3117  0.1217  8 Ag 2.69-2.87, 4 Cu 2.70-2.82
Ag  0.0880  0.8482  0.4515  9 Ag 2.79-2.97, 3 Cu 2.82-2.92
Ag  0.1316  0.7492  0.1566  6 Cu 2.67-2.87, 6 Ag 2.73-2.97
Ag  0.2099  0.6245  0.6252  5 Cu 2.67-2.79, 6 Ag 2.81-2.98
Ag  0.2539  0.5135  0.3219  3 Cu 2.76-2.81, 9 Ag 2.79-3.05
Ag  0.3349  0.3651  0.7734  6 Cu 2.75-2.91, 6 Ag 2.76-2.85
Ag  0.3777  0.2827  0.4943  2 Cu 2.75-2.83, 10 Ag 2.79-3.02
Ag  0.4166  0.1985  0.1954  7 Ag 2.74-3.00, 5 Cu 2.74-2.84
Ag  0.4350  0.0974  0.9205  8 Cu 2.67-2.89, 4 Ag 2.74-2.98
Ag  0.5316  0.9518  0.3633  3 Cu 2.77-2.92, 9 Ag 2.78-2.90
Ag  0.6531  0.7288  0.5437  4 Cu 2.71-2.78, 7 Ag 2.82-2.92
Ag  0.7276  0.5677  0.9716  8 Cu 2.65-2.83, 3 Ag 2.73-2.83
Ag  0.8111  0.4082  0.4022  3 Cu 2.77-2.99, 9 Ag 2.79-2.93
Ag  0.8905  0.2419  0.8542  8 Cu 2.68-2.82, 4 Ag 2.80-2.83
Ag  0.9212  0.1722  0.5747  3 Cu 2.75-2.93, 9 Ag 2.80-3.05
Ag  0.9576  0.0668  0.2703  4 Cu 2.71-2.77, 7 Ag 2.78-3.02

Properties
Energy of formation from the pure elements (kcal/mol of atoms): 2.05
Distance to the lowest polymorph of the same formula (eV/atom): 0.057
Crystal system: triclinic

Listing electronic total energy for the structures above in their given order: -2.40; -6.23; -2.46; -7.91; -4.49; -7.32; -3.06; -9.80; -8.25; -5.15; -3.46; -3.09 eV/atom.
Listing theoretical density for the structures above in their given order: 8592; 11849; 9269; 11845; 6462; 7807; 10764; 15146; 10857; 9440; 7604; 9636 kg/m3.